No. 1
An optimized crystal structure of KCuBiF6, computed with PBE-GGA.

Properties
As for the electronic total energy: -4.46 eV/atom. The formation energy from raw total energies is -2.2016 eV/atom. The density of states at the Fermi level comes out at 0.74 states/eV/atom. The calculation puts the volume at 324 Å³/cell. The calculation puts the theoretical density at 4.4 Mg/m³.

The structure in POSCAR format:
```
KCuBiF6
1.0
5.874 0.000 0.000
-2.937 5.087 0.000
0.000 0.000 10.845
K F Cu Bi
2 12 2 2
Direct
0.000 0.000 0.000 K
0.000 0.000 0.500 K
0.641 0.029 0.355 F
0.971 0.613 0.355 F
0.971 0.359 0.145 F
0.387 0.029 0.145 F
0.613 0.971 0.855 F
0.029 0.387 0.645 F
0.641 0.613 0.145 F
0.029 0.641 0.855 F
0.359 0.387 0.855 F
0.613 0.641 0.645 F
0.359 0.971 0.645 F
0.387 0.359 0.355 F
0.667 0.333 0.250 Cu
0.333 0.667 0.750 Cu
0.333 0.667 0.250 Bi
0.667 0.333 0.750 Bi
```


No. 2
An optimized crystal structure of Li2CuBiF8, computed with PBE-GGA.

Properties
As for the electronic total energy: -4.44 eV/atom. The formation energy from raw total energies is -2.2093 eV/atom. The density of states at the Fermi level comes out at 0.46 states/eV/atom. The calculation puts the volume at 152 Å³/cell. The calculation puts the theoretical density at 4.8 Mg/m³.

The structure in POSCAR format:
```
Li2CuBiF8
1.0
4.775 -0.026 -0.003
0.011 4.782 -0.005
0.005 0.008 6.669
F Cu Li Bi
8 1 2 1
Direct
0.199 0.799 0.225 F
0.801 0.201 0.225 F
0.326 0.322 0.500 F
0.674 0.678 0.500 F
0.199 0.799 0.775 F
0.284 0.282 0.000 F
0.716 0.718 0.000 F
0.801 0.201 0.775 F
0.000 0.000 0.000 Cu
0.500 0.500 0.780 Li
0.500 0.500 0.220 Li
0.000 0.000 0.500 Bi
```